Compound: DyHo2In3Ni2Au
Source: OQMD
Functional: PBE
Structure: relaxed

abc: 3.8980 7.5179 7.5179
angles: 120.00 90.00 90.00
Element x y z (fractional)
Dy  0.0000  0.0000  0.0000
Ho  0.0000  0.4078  0.8159
Ho  0.0000  0.8159  0.4078
In  0.5000  0.1343  0.4084
In  0.5000  0.4084  0.1343
In  0.5000  0.6816  0.6816
Ni  0.5000  0.0750  0.7410
Ni  0.5000  0.7410  0.0750
Au  0.0000  0.4085  0.4085

Results
* crystal system: orthorhombic
* spin magnetization: 0.00 μB per atom
* total energy: -4.60 eV/atom



Compound: TbCu2Te2Se
Source: OQMD
Functional: PBE
Structure: relaxed

abc: 10.7329 10.7329 7.4436
angles: 98.27 98.27 21.78
Element x y z (fractional)
Tb  0.1454  0.1454  0.0281
Tb  0.8546  0.8546  0.9719
Cu  0.2080  0.2080  0.4184
Cu  0.4551  0.4551  0.8380
Cu  0.5449  0.5449  0.1620
Cu  0.7920  0.7920  0.5816
Te  0.0838  0.0838  0.3742
Te  0.2503  0.2503  0.7646
Te  0.7497  0.7497  0.2354
Te  0.9162  0.9162  0.6258
Se  0.4274  0.4274  0.1499
Se  0.5726  0.5726  0.8501

Results
* crystal system: monoclinic
* spin magnetization: 0.00 μB per atom
* total energy: -4.33 eV/atom



Compound: HfSi2Ir
Source: OQMD
Functional: PBE
Structure: relaxed

abc: 3.9437 4.7766 6.6145
angles: 90.00 90.00 90.00
Element x y z (fractional)
Hf  0.0000  0.1052  0.0000
Hf  0.0000  0.8948  0.5000
Si  0.0000  0.4156  0.6419
Si  0.0000  0.5844  0.1419
Si  0.5000  0.1378  0.7216
Si  0.5000  0.8622  0.2216
Ir  0.5000  0.3436  0.3669
Ir  0.5000  0.6564  0.8669

Results
* crystal system: orthorhombic
* spin magnetization: 0.00 μB per atom
* total energy: -7.88 eV/atom